Record 1
DFT (PBE-GGA) results for a relaxed ZrMn2Ag crystal.

The structure in POSCAR format:
```
ZrMn2Ag
1.0
3.8793 0.0000 0.0000
0.0000 3.8793 0.0000
1.9397 1.9397 9.2251
Zr Mn Ag
2 4 2
direct
0.5000 0.5000 0.0000
0.2500 0.7500 0.5000
0.5298 0.1250 0.2500
0.8750 0.7798 0.7500
0.3750 0.4702 0.7500
0.2202 0.6250 0.2500
0.7500 0.2500 0.5000
0.0000 0.0000 0.0000
```

Final energy: -6.63 eV/atom
Fermi-level density of states: 9.03 states/eV/cell
ΔH_f (0 K): 0.81 eV/atom
Magnetic moment: 0.56 Bohr magnetons per cell
Polymorph energy (0 for the lowest one): 0.719 eV/atom

---

Record 2
DFT (PBE-GGA) results for a relaxed YMo4Br crystal.

The structure in POSCAR format:
```
YMo4Br
1.0
0.0000 3.8560 3.8560
3.8560 0.0000 3.8560
3.8560 3.8560 0.0000
Mo Y Br
4 1 1
direct
0.3746 0.3746 0.3746
0.8763 0.3746 0.3746
0.3746 0.8763 0.3746
0.3746 0.3746 0.8763
0.7500 0.7500 0.7500
0.0000 0.0000 0.0000
```

Final energy: -7.97 eV/atom
Fermi-level density of states: 6.42 states/eV/cell
Raw formation energy: 58.1 kJ/mol of atoms
Magnetic moment: 0.00 Bohr magnetons per cell

---

Record 3
DFT (PBE-GGA) results for a relaxed GaOsSe crystal.

The structure in POSCAR format:
```
GaOsSe
1.0
-1.5966 1.5104 1.7714
-2.2850 -2.8536 0.3740
8.8886 -1.1419 9.1360
Se Ga Os
2 2 2
direct
0.2621 0.3908 0.1443
0.7379 0.6092 0.8557
0.7426 0.9744 0.7219
0.2574 0.0256 0.2781
0.2485 0.7961 0.5456
0.7515 0.2039 0.4544
```

Final energy: -5.94 eV/atom
Fermi-level density of states: 2.09 states/eV/cell
Raw formation energy: -2.6 kJ/mol of atoms
Magnetic moment: 0.00 Bohr magnetons per cell

---

Record 4
DFT (PBE-GGA) results for a relaxed Ac3SiHg crystal.

The structure in POSCAR format:
```
Ac3SiHg
1.0
-0.0341 -3.6053 -2.6653
-3.6998 -5.4987 3.7162
-11.4645 2.0974 -2.6919
Si Ac Hg
2 6 2
direct
0.0994 0.3704 0.6866
0.5889 0.3903 0.3724
0.1987 0.1708 0.9437
0.7245 0.1202 0.6194
0.2150 0.1380 0.3091
0.4732 0.6226 0.7500
0.9637 0.6405 0.4397
0.4895 0.5899 0.1154
0.8078 0.9528 0.1511
0.8805 0.8079 0.9080
```

Final energy: -3.94 eV/atom
Fermi-level density of states: 11.70 states/eV/cell
Raw formation energy: -32.2 kJ/mol of atoms
Magnetic moment: 0.00 Bohr magnetons per cell
Polymorph energy (0 for the lowest one): 0.036 eV/atom

---

Record 5
DFT (PBE-GGA) results for a relaxed AcZn5As4 crystal.

The structure in POSCAR format:
```
AcZn5As4
1.0
4.0299 0.0000 -1.0269
-0.9003 6.9216 -3.5328
-0.0394 -0.2073 8.2658
Zn Ac As
5 1 4
direct
0.8206 0.6159 0.6412
0.5000 0.5000 0.0000
0.1794 0.3841 0.3588
0.1794 0.9747 0.3588
0.8206 0.0253 0.6412
0.5000 0.0000 0.0000
0.2685 0.7685 0.5370
0.7315 0.2315 0.4630
0.0000 0.7072 0.0000
0.0000 0.2928 0.0000
```

Final energy: -3.16 eV/atom
Fermi-level density of states: 2.96 states/eV/cell
ΔH_f (0 K): -0.25 eV/atom
Magnetic moment: 0.00 Bohr magnetons per cell

---

Record 6
DFT (PBE-GGA) results for a relaxed TbHg3Cl9 crystal.

The structure in POSCAR format:
```
TbHg3Cl9
1.0
-4.7225 6.8012 3.6096
1.1299 1.1657 10.5833
5.8679 9.3497 1.3619
Hg Cl Tb
6 18 2
direct
0.2379 0.4063 0.3759
0.7924 0.5802 0.7024
0.6493 0.2434 0.6900
0.9799 0.9063 0.8759
0.4172 0.7434 0.1900
0.9250 0.0802 0.2024
0.4865 0.2232 0.5308
0.5100 0.4984 0.2538
0.0873 0.5696 0.1905
0.7025 0.4533 0.5779
0.3304 0.1740 0.3173
0.7377 0.9984 0.7538
0.7595 0.7232 0.0308
0.8979 0.4120 0.8799
0.8103 0.9120 0.3799
0.1783 0.6740 0.8173
0.4214 0.8207 0.4078
0.9481 0.2988 0.2136
0.5395 0.7988 0.7136
0.7975 0.0860 0.0284
0.3501 0.3207 0.9078
0.0881 0.5860 0.5284
0.2663 0.9533 0.0779
0.1526 0.0696 0.6905
0.0404 0.4915 0.0096
0.4585 0.9915 0.5096
```

Final energy: -2.76 eV/atom
Fermi-level density of states: 0.00 states/eV/cell
Raw formation energy: -102.0 kJ/mol of atoms
Magnetic moment: 0.00 Bohr magnetons per cell

---

- What is the Fermi-level density of states in the fourth record?
  11.70 states/eV/cell